(1)
First-principles (PBE) data for an optimized crystal structure of ErFeRu, as listed in the Alexandria database.

Cell: 3.939 3.939 4.171 Å, 90.00 90.00 120.00°
Fractional coordinates of all 3 atoms:
Er  0.000  0.000  0.000
Fe  0.333  0.667  0.500
Ru  0.667  0.333  0.500

**Space-group type**: P-6m2, No. 187
**ΔE_f**: -0.05 eV per atom
**Magnetic moment**: 0.0 μB/f.u.
**Volume**: 18.68 A^3/atom
**E_tot**: -22.5 eV per formula unit

***

(2)
First-principles (PBE) data for an optimized crystal structure of TeRu3W, as listed in the Alexandria database.

Cell: 4.726 4.726 4.726 Å, 90.00 90.00 90.00°
Fractional coordinates of all 5 atoms:
Te  0.000  0.000  0.000
Ru  0.000  0.500  0.500
Ru  0.500  0.000  0.500
Ru  0.500  0.500  0.000
W  0.500  0.500  0.500

**Uncorrected formation energy**: 1485 meV per atom
**Space-group type**: Pm-3m, No. 221
**Magnetic moment**: 1.3 μB/f.u.
**Volume**: 21.11 A^3/atom
**E_tot**: -36.5 eV per formula unit

***

(3)
First-principles (PBE) data for an optimized crystal structure of KNdIn6, as listed in the Alexandria database.

Cell: 5.015 6.762 6.743 Å, 90.00 90.00 90.00°
Fractional coordinates of all 8 atoms:
K  0.000  0.000  0.000
Nd  0.500  0.500  0.228
In  0.000  0.268  0.467
In  0.000  0.500  0.897
In  0.000  0.732  0.467
In  0.500  0.000  0.352
In  0.500  0.252  0.755
In  0.500  0.748  0.755

**Space-group type**: Pmm2, No. 25
**ΔE_f**: -0.19 eV per atom
**Magnetic moment**: 0.0 μB/f.u.
**Volume**: 28.58 A^3/atom
**E_tot**: -23.8 eV per formula unit

***

(4)
First-principles (PBE) data for an optimized crystal structure of YZnRe2, as listed in the Alexandria database.

Cell: 3.358 4.454 4.633 Å, 90.00 90.00 90.00°
Fractional coordinates of all 4 atoms:
Y  0.000  0.000  0.000
Zn  0.500  0.500  0.000
Re  0.000  0.500  0.500
Re  0.500  0.000  0.500

**Space-group type**: Pmmm, No. 47
**ΔE_f**: 0.34 eV per atom
**Magnetic moment**: 0.0 μB/f.u.
**Volume**: 17.33 A^3/atom
**E_tot**: -31.3 eV per formula unit

***

(5)
First-principles (PBE) data for an optimized crystal structure of KIn4Pt, as listed in the Alexandria database.

Cell: 9.095 9.095 7.560 Å, 90.00 90.00 150.12°
Fractional coordinates of all 12 atoms:
K  0.125  0.875  0.750
K  0.875  0.125  0.250
In  0.066  0.934  0.250
In  0.312  0.688  0.548
In  0.312  0.688  0.952
In  0.500  0.500  0.000
In  0.500  0.500  0.500
In  0.688  0.312  0.048
In  0.688  0.312  0.452
In  0.934  0.066  0.750
Pt  0.220  0.780  0.250
Pt  0.780  0.220  0.750

**Space-group type**: Cmcm, No. 63
**ΔE_f**: -0.28 eV per atom
**Magnetic moment**: 0.0 μB/f.u.
**Volume**: 25.97 A^3/atom
**E_tot**: -19.8 eV per formula unit

***

(6)
First-principles (PBE) data for an optimized crystal structure of Nd6SmIn5, as listed in the Alexandria database.

Cell: 8.371 8.371 8.735 Å, 90.00 90.00 143.94°
Fractional coordinates of all 12 atoms:
Nd  0.000  0.000  0.229
Nd  0.000  0.000  0.771
Nd  0.327  0.673  0.250
Nd  0.327  0.673  0.750
Nd  0.673  0.327  0.250
Nd  0.673  0.327  0.750
Sm  0.500  0.500  0.500
In  0.147  0.853  0.500
In  0.170  0.830  0.000
In  0.500  0.500  0.000
In  0.830  0.170  0.000
In  0.853  0.147  0.500

**Space-group type**: Cmmm, No. 65
**ΔE_f**: -0.38 eV per atom
**Magnetic moment**: 0.0 μB/f.u.
**Volume**: 30.02 A^3/atom
**E_tot**: -51.6 eV per formula unit

***

(7)
First-principles (PBE) data for an optimized crystal structure of HoMg2Pd, as listed in the Alexandria database.

Cell: 4.860 4.860 4.860 Å, 60.09 60.09 60.09°
Fractional coordinates of all 4 atoms:
Ho  0.000  0.000  0.000
Mg  0.250  0.250  0.250
Mg  0.750  0.750  0.750
Pd  0.500  0.500  0.500

**Space-group type**: R-3m, No. 166
**ΔE_f**: -0.26 eV per atom
**Magnetic moment**: 0.0 μB/f.u.
**Volume**: 20.33 A^3/atom
**E_tot**: -14.0 eV per formula unit

***

(8)
First-principles (PBE) data for an optimized crystal structure of Sc2CoPt, as listed in the Alexandria database.

Cell: 4.550 4.550 4.550 Å, 60.00 60.00 60.00°
Fractional coordinates of all 4 atoms:
Sc  0.250  0.250  0.250
Sc  0.750  0.750  0.750
Co  0.000  0.000  0.000
Pt  0.500  0.500  0.500

**Space-group type**: Fm-3m, No. 225
**ΔE_f**: -0.80 eV per atom
**Magnetic moment**: 0.0 μB/f.u.
**Volume**: 16.65 A^3/atom
**E_tot**: -29.0 eV per formula unit

***

(9)
First-principles (PBE) data for an optimized crystal structure of CoP2, as listed in the Alexandria database.

Cell: 10.552 10.552 10.552 Å, 166.18 162.92 22.04°
Fractional coordinates of all 6 atoms:
Co  0.374  0.124  0.250
Co  0.626  0.876  0.750
P  0.065  0.315  0.750
P  0.189  0.439  0.750
P  0.811  0.561  0.250
P  0.935  0.685  0.250

**Space-group type**: Imma, No. 74
**ΔE_f**: 0.00 eV per atom
**Magnetic moment**: 0.2 μB/f.u.
**Volume**: 13.73 A^3/atom
**E_tot**: -17.9 eV per formula unit

***

(10)
First-principles (PBE) data for an optimized crystal structure of RbTi2Pd, as listed in the Alexandria database.

Cell: 4.802 4.802 4.802 Å, 60.00 60.00 60.00°
Fractional coordinates of all 4 atoms:
Rb  0.000  0.000  0.000
Ti  0.250  0.250  0.250
Ti  0.750  0.750  0.750
Pd  0.500  0.500  0.500

**Space-group type**: Fm-3m, No. 225
**ΔE_f**: 0.89 eV per atom
**Magnetic moment**: 1.2 μB/f.u.
**Volume**: 19.58 A^3/atom
**E_tot**: -18.4 eV per formula unit

***

(11)
First-principles (PBE) data for an optimized crystal structure of HoSc2Cu, as listed in the Alexandria database.

Cell: 3.306 3.306 8.266 Å, 90.00 90.00 90.00°
Fractional coordinates of all 4 atoms:
Ho  0.000  0.000  0.000
Sc  0.500  0.500  0.307
Sc  0.500  0.500  0.693
Cu  0.000  0.000  0.500

**Space-group type**: P4/mmm, No. 123
**ΔE_f**: -0.08 eV per atom
**Magnetic moment**: 0.0 μB/f.u.
**Volume**: 22.59 A^3/atom
**E_tot**: -21.7 eV per formula unit

***

(12)
First-principles (PBE) data for an optimized crystal structure of Th2Zn3CoCu12, as listed in the Alexandria database.

Cell: 9.577 9.577 9.577 Å, 37.44 37.44 37.44°
Fractional coordinates of all 18 atoms:
Th  0.153  0.153  0.153
Th  0.847  0.847  0.847
Zn  0.000  0.500  0.500
Zn  0.500  0.000  0.500
Zn  0.500  0.500  0.000
Co  0.500  0.500  0.500
Cu  0.080  0.080  0.690
Cu  0.080  0.690  0.080
Cu  0.146  0.573  0.573
Cu  0.310  0.920  0.920
Cu  0.427  0.427  0.854
Cu  0.427  0.854  0.427
Cu  0.573  0.146  0.573
Cu  0.573  0.573  0.146
Cu  0.690  0.080  0.080
Cu  0.854  0.427  0.427
Cu  0.920  0.310  0.920
Cu  0.920  0.920  0.310

**Space-group type**: R-3m, No. 166
**ΔE_f**: 0.17 eV per atom
**Magnetic moment**: 0.6 μB/f.u.
**Volume**: 16.17 A^3/atom
**E_tot**: -71.8 eV per formula unit